Entry 1:
Compound: NaThAsSe
Source: the Alexandria database
Functional: GGA-PBE
Structure: relaxed

Unit cell a=7.400 b=7.400 c=7.400 alpha=34.10 beta=34.10 gamma=34.10
Fractional positions:
Na  0.000  0.000  0.000
Th  0.509  0.509  0.509
As  0.247  0.247  0.247
Se  0.761  0.761  0.761

uncorrected energy = -5.49 eV per atom
calculated density = 5.98 g/cm3
energy relative to the elements, uncorrected = -1.28 eV per atom



Entry 2:
Compound: NaTiAsSe2
Source: the Alexandria database
Functional: GGA-PBE
Structure: relaxed

Unit cell a=5.017 b=5.017 c=4.944 alpha=90.00 beta=90.00 gamma=90.00
Fractional positions:
Na  0.000  0.000  0.000
Ti  0.500  0.500  0.500
As  0.500  0.500  0.000
Se  0.000  0.500  0.500
Se  0.500  0.000  0.500

uncorrected energy = -4.71 eV per atom
relative energy among the computed polymorphs = 0 meV per atom
calculated density = 4.05 g/cm3
energy relative to the elements, uncorrected = -0.55 eV per atom



Entry 3:
Compound: NaTiAsSe2
Source: the Alexandria database
Functional: GGA-PBE
Structure: relaxed

Unit cell a=5.015 b=5.015 c=4.822 alpha=90.00 beta=90.00 gamma=90.00
Fractional positions:
Na  0.000  0.000  0.000
Ti  0.500  0.500  0.500
As  0.000  0.000  0.500
Se  0.000  0.500  0.000
Se  0.500  0.000  0.000

uncorrected energy = -3.37 eV per atom
relative energy among the computed polymorphs = 1345 meV per atom
calculated density = 4.16 g/cm3
energy relative to the elements, uncorrected = 0.80 eV per atom



Entry 4:
Compound: NaTlAs2Se
Source: the Alexandria database
Functional: GGA-PBE
Structure: relaxed

Unit cell a=5.182 b=5.182 c=5.261 alpha=90.00 beta=90.00 gamma=90.00
Fractional positions:
Na  0.000  0.000  0.000
Tl  0.500  0.500  0.500
As  0.000  0.500  0.000
As  0.500  0.000  0.000
Se  0.000  0.000  0.500

uncorrected energy = -2.64 eV per atom
relative energy among the computed polymorphs = 114 meV per atom
calculated density = 5.36 g/cm3
energy relative to the elements, uncorrected = 0.66 eV per atom